No. 1
Below is a geometry-optimized LiCa2Mg5Al2 structure, with properties calculated at the PBE level.

Unit cell a=10.578 b=10.578 c=4.483 alpha=90.00 beta=90.00 gamma=90.00
Positions (direct):
Li 0.000 0.000 0.000
Li 0.500 0.500 0.000
Ca 0.182 0.318 0.000
Ca 0.318 0.818 0.000
Ca 0.682 0.182 0.000
Ca 0.818 0.682 0.000
Mg 0.000 0.500 0.500
Mg 0.060 0.791 0.500
Mg 0.209 0.060 0.500
Mg 0.291 0.560 0.500
Mg 0.440 0.291 0.500
Mg 0.500 0.000 0.500
Mg 0.560 0.709 0.500
Mg 0.709 0.440 0.500
Mg 0.791 0.940 0.500
Mg 0.940 0.209 0.500
Al 0.112 0.612 0.000
Al 0.388 0.112 0.000
Al 0.612 0.888 0.000
Al 0.888 0.388 0.000

## Properties
Crystal system   tetragonal
E_form   -0.076 eV/atom
Volume   25.1 A^3/atom
VASP energy   -2.21 eV per atom

No. 2
Below is a geometry-optimized Li5Ca2MgAl2 structure, with properties calculated at the PBE level.

Unit cell a=10.913 b=10.913 c=3.917 alpha=90.00 beta=90.00 gamma=90.00
Positions (direct):
Li 0.000 0.500 0.000
Li 0.064 0.207 0.000
Li 0.207 0.936 0.000
Li 0.293 0.436 0.000
Li 0.436 0.707 0.000
Li 0.500 0.000 0.000
Li 0.564 0.293 0.000
Li 0.707 0.564 0.000
Li 0.793 0.064 0.000
Li 0.936 0.793 0.000
Ca 0.175 0.675 0.500
Ca 0.325 0.175 0.500
Ca 0.675 0.825 0.500
Ca 0.825 0.325 0.500
Mg 0.000 0.000 0.500
Mg 0.500 0.500 0.500
Al 0.119 0.381 0.500
Al 0.381 0.881 0.500
Al 0.619 0.119 0.500
Al 0.881 0.619 0.500

## Properties
Crystal system   tetragonal
E_form   -0.025 eV/atom
Volume   23.3 A^3/atom
VASP energy   -2.29 eV per atom

No. 3
Below is a geometry-optimized Li5Ca2Mg2Al structure, with properties calculated at the PBE level.

Unit cell a=11.737 b=11.737 c=3.520 alpha=90.00 beta=90.00 gamma=90.00
Positions (direct):
Li 0.000 0.500 0.000
Li 0.055 0.179 0.000
Li 0.179 0.945 0.000
Li 0.321 0.445 0.000
Li 0.445 0.679 0.000
Li 0.500 0.000 0.000
Li 0.555 0.321 0.000
Li 0.679 0.555 0.000
Li 0.821 0.055 0.000
Li 0.945 0.821 0.000
Ca 0.172 0.672 0.500
Ca 0.328 0.172 0.500
Ca 0.672 0.828 0.500
Ca 0.828 0.328 0.500
Mg 0.128 0.372 0.500
Mg 0.372 0.872 0.500
Mg 0.628 0.128 0.500
Mg 0.872 0.628 0.500
Al 0.000 0.000 0.500
Al 0.500 0.500 0.500

## Properties
Crystal system   tetragonal
E_form   0.031 eV/atom
Volume   24.2 A^3/atom
VASP energy   -2.02 eV per atom

No. 4
Below is a geometry-optimized NaLi5Ca2Al2 structure, with properties calculated at the PBE level.

Unit cell a=10.335 b=10.335 c=4.684 alpha=90.00 beta=90.00 gamma=90.00
Positions (direct):
Na 0.000 0.000 0.000
Na 0.500 0.500 0.000
Li 0.000 0.500 0.500
Li 0.059 0.233 0.500
Li 0.233 0.941 0.500
Li 0.267 0.441 0.500
Li 0.441 0.733 0.500
Li 0.500 0.000 0.500
Li 0.559 0.267 0.500
Li 0.733 0.559 0.500
Li 0.767 0.059 0.500
Li 0.941 0.767 0.500
Ca 0.193 0.693 0.000
Ca 0.307 0.193 0.000
Ca 0.693 0.807 0.000
Ca 0.807 0.307 0.000
Al 0.095 0.405 0.000
Al 0.405 0.905 0.000
Al 0.595 0.095 0.000
Al 0.905 0.595 0.000

## Properties
Crystal system   tetragonal
E_form   -0.049 eV/atom
Volume   25.0 A^3/atom
VASP energy   -2.29 eV per atom